[1]
The following is a GGA-PBE calculation of Na3Tb3NpO8 after structural relaxation, from Alexandria via LeMat-Bulk.

abc: 6.904 6.904 6.904
angles: 60.39 60.39 60.39
Fractional positions:
Na (0.000, 0.500, 0.500)
Na (0.500, 0.000, 0.500)
Na (0.500, 0.500, 0.000)
Tb (0.000, 0.000, 0.500)
Tb (0.000, 0.500, 0.000)
Tb (0.500, 0.000, 0.000)
Np (0.500, 0.500, 0.500)
O (0.236, 0.236, 0.236)
O (0.245, 0.727, 0.727)
O (0.273, 0.273, 0.755)
O (0.273, 0.755, 0.273)
O (0.727, 0.245, 0.727)
O (0.727, 0.727, 0.245)
O (0.755, 0.273, 0.273)
O (0.764, 0.764, 0.764)

Computed properties:
Its density of states at the Fermi level is 10.4 states/eV/f.u. Its crystal system is trigonal. As for the final energy: -7.48 eV per atom.

***

[2]
The following is a GGA-PBE calculation of Na4Tb3NpO8 after structural relaxation, from Alexandria via LeMat-Bulk.

abc: 6.902 6.902 6.902
angles: 60.19 60.19 60.19
Fractional positions:
Na (0.000, 0.000, 0.000)
Na (0.000, 0.500, 0.500)
Na (0.500, 0.000, 0.500)
Na (0.500, 0.500, 0.000)
Tb (0.000, 0.000, 0.500)
Tb (0.000, 0.500, 0.000)
Tb (0.500, 0.000, 0.000)
Np (0.500, 0.500, 0.500)
O (0.237, 0.237, 0.237)
O (0.237, 0.739, 0.739)
O (0.261, 0.261, 0.763)
O (0.261, 0.763, 0.261)
O (0.739, 0.237, 0.739)
O (0.739, 0.739, 0.237)
O (0.763, 0.261, 0.261)
O (0.763, 0.763, 0.763)

Computed properties:
Its density of states at the Fermi level is 7.3 states/eV/f.u. Its crystal system is trigonal. As for the final energy: -7.11 eV per atom.

***

[3]
The following is a GGA-PBE calculation of NaNpTc2O8 after structural relaxation, from Alexandria via LeMat-Bulk.

abc: 5.955 5.955 6.845
angles: 90.00 90.00 120.00
Fractional positions:
Na (0.000, 0.000, 0.000)
Np (0.000, 0.000, 0.500)
Tc (0.333, 0.667, 0.795)
Tc (0.667, 0.333, 0.205)
O (0.165, 0.331, 0.702)
O (0.165, 0.835, 0.702)
O (0.331, 0.165, 0.298)
O (0.333, 0.667, 0.049)
O (0.667, 0.333, 0.951)
O (0.669, 0.835, 0.702)
O (0.835, 0.165, 0.298)
O (0.835, 0.669, 0.298)

Computed properties:
Its density of states at the Fermi level is 7.0 states/eV/f.u. Its crystal system is trigonal. As for the final energy: -8.00 eV per atom.

***

[4]
The following is a GGA-PBE calculation of Na2NpTeO6 after structural relaxation, from Alexandria via LeMat-Bulk.

abc: 5.927 5.927 4.352
angles: 90.00 90.00 90.00
Fractional positions:
Na (0.000, 0.500, 0.000)
Na (0.500, 0.000, 0.000)
Np (0.000, 0.000, 0.423)
Te (0.500, 0.500, 0.422)
O (0.000, 0.000, 0.923)
O (0.243, 0.243, 0.410)
O (0.243, 0.757, 0.410)
O (0.500, 0.500, 0.989)
O (0.757, 0.243, 0.410)
O (0.757, 0.757, 0.410)

Computed properties:
Its density of states at the Fermi level is 0.1 states/eV/f.u. Its crystal system is tetragonal. As for the final energy: -6.78 eV per atom.

***

[5]
The following is a GGA-PBE calculation of Na2NpTeO8 after structural relaxation, from Alexandria via LeMat-Bulk.

abc: 5.174 5.187 6.598
angles: 88.61 88.60 86.73
Fractional positions:
Na (0.002, 0.002, 0.237)
Na (0.998, 0.998, 0.763)
Np (0.500, 0.500, 0.500)
Te (0.500, 0.500, 0.000)
O (0.238, 0.761, 0.000)
O (0.242, 0.758, 0.500)
O (0.322, 0.323, 0.227)
O (0.331, 0.332, 0.761)
O (0.669, 0.668, 0.239)
O (0.678, 0.677, 0.773)
O (0.758, 0.242, 0.500)
O (0.762, 0.239, 0.000)

Computed properties:
Its density of states at the Fermi level is 2.5 states/eV/f.u. Its crystal system is triclinic. As for the final energy: -6.48 eV per atom.

***

[6]
The following is a GGA-PBE calculation of NaNp2TeO8 after structural relaxation, from Alexandria via LeMat-Bulk.

abc: 5.016 5.016 6.938
angles: 90.00 90.00 91.76
Fractional positions:
Na (0.000, 0.000, 0.000)
Np (0.500, 0.500, 0.247)
Np (0.500, 0.500, 0.753)
Te (0.000, 0.000, 0.500)
O (0.210, 0.210, 0.270)
O (0.210, 0.210, 0.730)
O (0.305, 0.695, 0.500)
O (0.327, 0.673, 0.000)
O (0.673, 0.327, 0.000)
O (0.695, 0.305, 0.500)
O (0.790, 0.790, 0.270)
O (0.790, 0.790, 0.730)

Computed properties:
Its density of states at the Fermi level is 5.5 states/eV/f.u. Its crystal system is orthorhombic. As for the final energy: -8.05 eV per atom.

***

[7]
The following is a GGA-PBE calculation of NaNpTe2O8 after structural relaxation, from Alexandria via LeMat-Bulk.

abc: 5.283 5.316 7.124
angles: 82.32 87.01 87.09
Fractional positions:
Na (0.000, 0.000, 0.000)
Np (0.000, 0.000, 0.500)
Te (0.475, 0.455, 0.228)
Te (0.525, 0.545, 0.772)
O (0.095, 0.201, 0.673)
O (0.236, 0.196, 0.252)
O (0.298, 0.750, 0.574)
O (0.308, 0.659, 0.971)
O (0.692, 0.341, 0.029)
O (0.702, 0.250, 0.426)
O (0.764, 0.804, 0.748)
O (0.905, 0.799, 0.327)

Computed properties:
Its crystal system is triclinic. As for the final energy: -6.74 eV per atom.

***

[8]
The following is a GGA-PBE calculation of NaThNpO6 after structural relaxation, from Alexandria via LeMat-Bulk.

abc: 5.652 5.652 9.943
angles: 90.00 90.00 120.00
Fractional positions:
Na (0.333, 0.667, 0.250)
Na (0.667, 0.333, 0.750)
Th (0.000, 0.000, 0.000)
Th (0.000, 0.000, 0.500)
Np (0.333, 0.667, 0.750)
Np (0.667, 0.333, 0.250)
O (0.048, 0.362, 0.634)
O (0.048, 0.686, 0.866)
O (0.314, 0.362, 0.866)
O (0.314, 0.952, 0.634)
O (0.362, 0.048, 0.134)
O (0.362, 0.314, 0.366)
O (0.638, 0.686, 0.634)
O (0.638, 0.952, 0.866)
O (0.686, 0.048, 0.366)
O (0.686, 0.638, 0.134)
O (0.952, 0.314, 0.134)
O (0.952, 0.638, 0.366)

Computed properties:
Its crystal system is trigonal. As for the final energy: -8.53 eV per atom.

***

[9]
The following is a GGA-PBE calculation of NaNpTiO6 after structural relaxation, from Alexandria via LeMat-Bulk.

abc: 5.401 5.401 10.214
angles: 90.00 90.00 120.00
Fractional positions:
Na (0.000, 0.000, 0.000)
Na (0.000, 0.000, 0.500)
Np (0.333, 0.667, 0.250)
Np (0.667, 0.333, 0.750)
Ti (0.333, 0.667, 0.750)
Ti (0.667, 0.333, 0.250)
O (0.006, 0.378, 0.647)
O (0.006, 0.628, 0.853)
O (0.372, 0.378, 0.853)
O (0.372, 0.994, 0.647)
O (0.378, 0.006, 0.147)
O (0.378, 0.372, 0.353)
O (0.622, 0.628, 0.647)
O (0.622, 0.994, 0.853)
O (0.628, 0.006, 0.353)
O (0.628, 0.622, 0.147)
O (0.994, 0.372, 0.147)
O (0.994, 0.622, 0.353)

Computed properties:
Its crystal system is trigonal. As for the final energy: -8.35 eV per atom.

***

[10]
The following is a GGA-PBE calculation of NaNp2TiO8 after structural relaxation, from Alexandria via LeMat-Bulk.

abc: 4.827 4.827 6.847
angles: 90.00 90.00 91.67
Fractional positions:
Na (0.000, 0.000, 0.000)
Np (0.500, 0.500, 0.252)
Np (0.500, 0.500, 0.748)
Ti (0.000, 0.000, 0.500)
O (0.201, 0.201, 0.286)
O (0.201, 0.201, 0.714)
O (0.292, 0.708, 0.500)
O (0.323, 0.677, 0.000)
O (0.677, 0.323, 0.000)
O (0.708, 0.292, 0.500)
O (0.799, 0.799, 0.286)
O (0.799, 0.799, 0.714)

Computed properties:
Its density of states at the Fermi level is 7.1 states/eV/f.u. Its crystal system is orthorhombic. As for the final energy: -8.94 eV per atom.

***

[11]
The following is a GGA-PBE calculation of NaNpTi2O8 after structural relaxation, from Alexandria via LeMat-Bulk.

abc: 4.993 4.993 6.991
angles: 96.88 96.88 79.80
Fractional positions:
Na (0.000, 0.000, 0.000)
Np (0.000, 0.000, 0.500)
Ti (0.461, 0.461, 0.798)
Ti (0.539, 0.539, 0.202)
O (0.221, 0.770, 0.717)
O (0.230, 0.779, 0.283)
O (0.249, 0.249, 0.559)
O (0.337, 0.337, 0.998)
O (0.663, 0.663, 0.002)
O (0.751, 0.751, 0.441)
O (0.770, 0.221, 0.717)
O (0.779, 0.230, 0.283)

Computed properties:
Its crystal system is monoclinic. As for the final energy: -8.45 eV per atom.

***

[12]
The following is a GGA-PBE calculation of NaNpTl2O8 after structural relaxation, from Alexandria via LeMat-Bulk.

abc: 4.570 6.876 5.601
angles: 90.00 91.85 90.00
Fractional positions:
Na (0.000, 0.000, 0.000)
Np (0.000, 0.500, 0.000)
Tl (0.500, 0.261, 0.500)
Tl (0.500, 0.739, 0.500)
O (0.129, 0.000, 0.574)
O (0.228, 0.286, 0.147)
O (0.228, 0.714, 0.147)
O (0.249, 0.500, 0.678)
O (0.751, 0.500, 0.322)
O (0.772, 0.286, 0.853)
O (0.772, 0.714, 0.853)
O (0.871, 0.000, 0.426)

Computed properties:
Its density of states at the Fermi level is 0.1 states/eV/f.u. Its crystal system is monoclinic. As for the final energy: -6.21 eV per atom.

***

[13]
The following is a GGA-PBE calculation of NaNp3Tl4O12 after structural relaxation, from Alexandria via LeMat-Bulk.

abc: 7.559 7.559 7.559
angles: 109.47 109.47 109.47
Fractional positions:
Na (0.000, 0.000, 0.000)
Np (0.000, 0.500, 0.500)
Np (0.500, 0.000, 0.500)
Np (0.500, 0.500, 0.000)
Tl (0.000, 0.000, 0.500)
Tl (0.000, 0.500, 0.000)
Tl (0.500, 0.000, 0.000)
Tl (0.500, 0.500, 0.500)
O (0.000, 0.284, 0.284)
O (0.000, 0.716, 0.716)
O (0.250, 0.500, 0.750)
O (0.250, 0.750, 0.500)
O (0.284, 0.000, 0.284)
O (0.284, 0.284, 0.000)
O (0.500, 0.250, 0.750)
O (0.500, 0.750, 0.250)
O (0.716, 0.000, 0.716)
O (0.716, 0.716, 0.000)
O (0.750, 0.250, 0.500)
O (0.750, 0.500, 0.250)

Computed properties:
Its density of states at the Fermi level is 10.5 states/eV/f.u. Its crystal system is cubic. As for the final energy: -7.56 eV per atom.

***

[14]
The following is a GGA-PBE calculation of NaNpTl2O6 after structural relaxation, from Alexandria via LeMat-Bulk.

abc: 5.903 6.027 6.417
angles: 99.97 107.86 115.60
Fractional positions:
Na (0.000, 0.000, 0.000)
Np (0.883, 0.503, 0.366)
Tl (0.443, 0.307, 0.714)
Tl (0.572, 0.876, 0.337)
O (0.316, 0.805, 0.513)
O (0.475, 0.190, 0.230)
O (0.734, 0.709, 0.152)
O (0.855, 0.700, 0.615)
O (0.931, 0.349, 0.115)
O (0.973, 0.282, 0.554)

Computed properties:
Its crystal system is triclinic. As for the final energy: -6.51 eV per atom.

***

[15]
The following is a GGA-PBE calculation of Na2NpTl3O6 after structural relaxation, from Alexandria via LeMat-Bulk.

abc: 6.181 6.181 6.575
angles: 97.64 97.64 120.45
Fractional positions:
Na (0.169, 0.831, 0.000)
Na (0.831, 0.169, 0.000)
Np (0.500, 0.500, 0.000)
Tl (0.000, 0.000, 0.500)
Tl (0.332, 0.668, 0.500)
Tl (0.668, 0.332, 0.500)
O (0.168, 0.435, 0.833)
O (0.300, 0.300, 0.218)
O (0.435, 0.168, 0.833)
O (0.565, 0.832, 0.167)
O (0.700, 0.700, 0.782)
O (0.832, 0.565, 0.167)

Computed properties:
Its crystal system is monoclinic. As for the final energy: -6.05 eV per atom.

***

[16]
The following is a GGA-PBE calculation of NaNpTlO6 after structural relaxation, from Alexandria via LeMat-Bulk.

abc: 5.656 5.656 10.210
angles: 90.00 90.00 120.00
Fractional positions:
Na (0.000, 0.000, 0.000)
Na (0.000, 0.000, 0.500)
Np (0.333, 0.667, 0.250)
Np (0.667, 0.333, 0.750)
Tl (0.333, 0.667, 0.750)
Tl (0.667, 0.333, 0.250)
O (0.037, 0.378, 0.138)
O (0.037, 0.658, 0.362)
O (0.342, 0.378, 0.362)
O (0.342, 0.963, 0.138)
O (0.378, 0.037, 0.638)
O (0.378, 0.342, 0.862)
O (0.622, 0.658, 0.138)
O (0.622, 0.963, 0.362)
O (0.658, 0.037, 0.862)
O (0.658, 0.622, 0.638)
O (0.963, 0.342, 0.638)
O (0.963, 0.622, 0.862)

Computed properties:
Its density of states at the Fermi level is 10.7 states/eV/f.u. Its crystal system is trigonal. As for the final energy: -6.68 eV per atom.

***

[17]
The following is a GGA-PBE calculation of Na2TmNpO4 after structural relaxation, from Alexandria via LeMat-Bulk.

abc: 5.953 3.429 5.975
angles: 90.00 109.49 90.00
Fractional positions:
Na (0.000, 0.000, 0.000)
Na (0.500, 0.500, 0.000)
Tm (0.000, 0.500, 0.500)
Np (0.500, 0.000, 0.500)
O (0.230, 0.000, 0.711)
O (0.253, 0.500, 0.284)
O (0.747, 0.500, 0.716)
O (0.770, 0.000, 0.289)

Computed properties:
Its density of states at the Fermi level is 8.1 states/eV/f.u. Its crystal system is monoclinic. As for the final energy: -7.50 eV per atom.

***

[18]
The following is a GGA-PBE calculation of Na2TmNpO6 after structural relaxation, from Alexandria via LeMat-Bulk.

abc: 5.733 5.869 10.010
angles: 90.00 124.90 90.00
Fractional positions:
Na (0.241, 0.036, 0.249)
Na (0.241, 0.464, 0.749)
Na (0.759, 0.536, 0.251)
Na (0.759, 0.964, 0.751)
Tm (0.000, 0.000, 0.500)
Tm (0.000, 0.500, 0.000)
Np (0.500, 0.000, 0.000)
Np (0.500, 0.500, 0.500)
O (0.167, 0.192, 0.953)
O (0.167, 0.308, 0.453)
O (0.261, 0.716, 0.949)
O (0.261, 0.784, 0.449)
O (0.356, 0.032, 0.762)
O (0.356, 0.468, 0.262)
O (0.644, 0.532, 0.738)
O (0.644, 0.968, 0.238)
O (0.739, 0.216, 0.551)
O (0.739, 0.284, 0.051)
O (0.833, 0.692, 0.547)
O (0.833, 0.808, 0.047)

Computed properties:
Its crystal system is monoclinic. As for the final energy: -7.64 eV per atom.

***

[19]
The following is a GGA-PBE calculation of Na2Tm2NpO6 after structural relaxation, from Alexandria via LeMat-Bulk.

abc: 5.929 5.929 5.938
angles: 99.26 99.26 120.28
Fractional positions:
Na (0.173, 0.827, 0.000)
Na (0.827, 0.173, 0.000)
Tm (0.334, 0.666, 0.500)
Tm (0.666, 0.334, 0.500)
Np (0.000, 0.000, 0.500)
O (0.053, 0.398, 0.698)
O (0.256, 0.256, 0.307)
O (0.398, 0.053, 0.698)
O (0.602, 0.947, 0.302)
O (0.744, 0.744, 0.693)
O (0.947, 0.602, 0.302)

Computed properties:
Its density of states at the Fermi level is 8.7 states/eV/f.u. Its crystal system is monoclinic. As for the final energy: -7.77 eV per atom.